VASP calculation (PBE) on a geometry-optimized Ho5Cu structure.

magnetic moment: 0.00 μB per formula unit
DOS(E_F): 1.3110 states/eV per atom
space-group type: Cmmm (65)
crystal system: orthorhombic
energy relative to the elements: 59 kJ/mol of formula units
calculated volume: 27.33 Å³ per atom

abc: 7.7038 7.7038 4.8269
angles: 90.00 90.00 145.08
Element x y z (fractional)
Ho 0.0000 0.0000 0.0000
Ho 0.1583 0.8417 0.5000
Ho 0.3316 0.6684 0.0000
Ho 0.6684 0.3316 0.0000
Ho 0.8417 0.1583 0.5000
Cu 0.5000 0.5000 0.5000